(1)
Ce5Np3N8: optimized geometry, PBE.

As for the crystal system: trigonal. The value obtained for the total energy is -156.6 eV for the cell shown. The raw formation energy is -1.346 eV/atom. The symmetry is R-3m.

Unit cell a=7.0444 b=7.0444 c=7.0607 alpha=60.08 beta=60.08 gamma=60.00
Positions (direct):
N 0.7498 0.7498 0.2671
N 0.7498 0.2332 0.2671
Ce 0.5000 0.0000 0.0000
N 0.7574 0.7574 0.7279
Ce 0.0000 0.5000 0.0000
N 0.2332 0.7498 0.2671
N 0.7668 0.2502 0.7329
Np 0.0000 0.0000 0.5000
Ce 0.5000 0.5000 0.0000
Np 0.0000 0.5000 0.5000
N 0.2426 0.2426 0.2721
N 0.2502 0.2502 0.7329
Ce 0.5000 0.5000 0.5000
N 0.2502 0.7668 0.7329
Np 0.5000 0.0000 0.5000
Ce 0.0000 0.0000 0.0000

(2)
AcTbPu: optimized geometry, PBE.

The calculation puts the energy relative to the lowest polymorph listed for this composition at 144 meV/atom. As for the crystal system: hexagonal. The value obtained for the total energy is -22.1 eV for the cell shown. The value obtained for the formation energy is 30.99 kJ/mol of atoms. The symmetry is P-6m2.

Unit cell a=3.4701 b=5.8759 c=5.8759 alpha=120.00 beta=90.00 gamma=90.00
Positions (direct):
Ac 0.1669 0.6667 0.3333
Pu 0.6666 0.3333 0.6667
Tb 0.1665 0.0000 0.0000

(3)
HgRu2C2: optimized geometry, PBE.

The calculation puts the energy relative to the lowest polymorph listed for this composition at 505 meV/atom. As for the crystal system: tetragonal. The value obtained for the total energy is -61.6 eV for the cell shown. The value obtained for the formation energy is 125.81 kJ/mol of atoms. The symmetry is P4/mbm.

Unit cell a=6.9431 b=6.9431 c=2.9873 alpha=90.00 beta=90.00 gamma=90.00
Positions (direct):
Ru 0.8693 0.6307 0.0000
Hg 0.5000 0.5000 0.0000
C 0.4216 0.0784 0.5000
Hg 0.0000 0.0000 0.0000
C 0.9216 0.4216 0.5000
C 0.5784 0.9216 0.5000
Ru 0.1307 0.3693 0.0000
C 0.0784 0.5784 0.5000
Ru 0.3693 0.8693 0.0000
Ru 0.6307 0.1307 0.0000

(4)
PuPa3Tc2: optimized geometry, PBE.

As for the crystal system: orthorhombic. The value obtained for the total energy is -127.3 eV for the cell shown. The value obtained for the formation energy is -1.67 kJ/mol of atoms. The symmetry is Cmc2_1.

Unit cell a=5.8280 b=6.7641 c=6.7641 alpha=84.83 beta=90.00 gamma=90.00
Positions (direct):
Tc 0.9070 0.5194 0.1933
Pa 0.3991 0.5912 0.2104
Pu 0.1426 0.8327 0.8327
Pu 0.6426 0.1673 0.1673
Pa 0.8991 0.4088 0.7896
Tc 0.9070 0.1933 0.5194
Tc 0.4070 0.4806 0.8067
Pa 0.8991 0.7896 0.4088
Pa 0.3991 0.2104 0.5912
Pa 0.2033 0.1033 0.1033
Pa 0.7033 0.8967 0.8967
Tc 0.4070 0.8067 0.4806

(5)
GdLuAlCd: optimized geometry, PBE.

As for the crystal system: cubic. The value obtained for the total energy is -24.6 eV for the cell shown. The value obtained for the formation energy is -32.80 kJ/mol of atoms. The symmetry is F-43m.

Unit cell a=5.1791 b=5.1791 c=5.1791 alpha=60.00 beta=60.00 gamma=60.00
Positions (direct):
Al 0.5000 0.5000 0.5000
Cd 0.0000 0.0000 0.0000
Lu 0.2500 0.2500 0.2500
Gd 0.7500 0.7500 0.7500

(6)
TmUIr: optimized geometry, PBE.

As for the crystal system: orthorhombic. The value obtained for the total energy is -49.7 eV for the cell shown. The value obtained for the formation energy is -7.04 kJ/mol of atoms. The symmetry is Fmmm.

Unit cell a=4.8023 b=4.8023 c=6.9522 alpha=105.37 beta=105.37 gamma=103.46
Positions (direct):
Ir 0.1212 0.1212 0.2424
U 0.2500 0.7500 0.5000
Tm 0.6936 0.3064 0.0000
Ir 0.8788 0.8788 0.7576
U 0.7500 0.2500 0.5000
Tm 0.3064 0.6936 0.0000

(7)
CaPO3: optimized geometry, PBE.

As for the crystal system: trigonal. The value obtained for the total energy is -205.8 eV for the cell shown. The raw formation energy is -2.404 eV/atom. The symmetry is R-3.

Unit cell a=8.5607 b=8.5607 c=8.5607 alpha=109.01 beta=109.01 gamma=109.01
Positions (direct):
O 0.9385 0.2760 0.1501
O 0.5168 0.1205 0.1855
Ca 0.6791 0.1765 0.8502
O 0.3711 0.6257 0.9098
P 0.2572 0.1199 0.4702
Ca 0.1498 0.3209 0.8235
O 0.1501 0.9385 0.2760
O 0.3743 0.0902 0.6289
O 0.0615 0.7240 0.8499
Ca 0.1765 0.8502 0.6791
P 0.7428 0.8801 0.5298
P 0.8801 0.5298 0.7428
O 0.6257 0.9098 0.3711
P 0.4702 0.2572 0.1199
P 0.1199 0.4702 0.2572
O 0.1205 0.1855 0.5168
O 0.7240 0.8499 0.0615
O 0.8145 0.4832 0.8795
P 0.5298 0.7428 0.8801
O 0.6289 0.3743 0.0902
O 0.1855 0.5168 0.1205
O 0.2760 0.1501 0.9385
O 0.9098 0.3711 0.6257
Ca 0.8502 0.6791 0.1765
O 0.4832 0.8795 0.8145
O 0.8795 0.8145 0.4832
O 0.0902 0.6289 0.3743
O 0.8499 0.0615 0.7240
Ca 0.3209 0.8235 0.1498
Ca 0.8235 0.1498 0.3209

(8)
MnBe3Si: optimized geometry, PBE.

The calculation puts the energy relative to the lowest polymorph listed for this composition at 1029 meV/atom. As for the crystal system: cubic. The value obtained for the total energy is -20.3 eV for the cell shown. The raw formation energy is 1.085 eV/atom. The symmetry is Pm-3m.

Unit cell a=3.9802 b=3.9802 c=3.9802 alpha=90.00 beta=90.00 gamma=90.00
Positions (direct):
Mn 0.0000 0.0000 0.0000
Be 0.0000 0.0000 0.5000
Be 0.5000 0.0000 0.0000
Be 0.0000 0.5000 0.0000
Si 0.5000 0.5000 0.5000

(9)
K2GaTc: optimized geometry, PBE.

As for the crystal system: tetragonal. The value obtained for the total energy is -24.4 eV for the cell shown. The value obtained for the formation energy is 82.26 kJ/mol of atoms. The symmetry is I-42d.

Unit cell a=12.4156 b=12.4156 c=9.1163 alpha=47.08 beta=47.08 gamma=90.00
Positions (direct):
Ga 0.5000 0.5000 0.0000
Tc 0.7500 0.2500 0.5000
K 0.2930 0.6250 0.2500
Tc 0.0000 0.0000 0.0000
Ga 0.2500 0.7500 0.5000
K 0.3750 0.5430 0.7500
K 0.8750 0.7070 0.7500
K 0.4570 0.1250 0.2500

(10)
TcTe2As: optimized geometry, PBE.

As for the crystal system: trigonal. The value obtained for the total energy is -20.2 eV for the cell shown. The raw formation energy is 0.277 eV/atom. The symmetry is R-3m.

Unit cell a=9.1575 b=9.1575 c=9.1575 alpha=21.34 beta=21.34 gamma=21.34
Positions (direct):
Tc 0.7500 0.7500 0.7500
Te 0.0124 0.0124 0.0124
Te 0.4876 0.4876 0.4876
As 0.2500 0.2500 0.2500

(11)
LiCrCl2: optimized geometry, PBE.

The calculation puts the energy relative to the lowest polymorph listed for this composition at 67 meV/atom. As for the crystal system: triclinic. The value obtained for the total energy is -38.2 eV for the cell shown. The raw formation energy is -0.963 eV/atom. The symmetry is P1.

Unit cell a=3.7244 b=6.6839 c=7.4587 alpha=96.39 beta=104.58 gamma=90.20
Positions (direct):
Cl 0.2650 0.9267 0.0658
Li 0.0492 0.4264 0.6296
Cl 0.0094 0.0654 0.5580
Cl 0.4515 0.5249 0.4334
Li 0.2893 0.5693 0.1141
Cl 0.6890 0.4502 0.9161
Cr 0.6647 0.8043 0.8701
Cr 0.5363 0.8488 0.6178

(12)
Ni2Ag2Rh: optimized geometry, PBE.

The calculation puts the energy relative to the lowest polymorph listed for this composition at 201 meV/atom. As for the crystal system: tetragonal. The value obtained for the total energy is -21.7 eV for the cell shown. The value obtained for the formation energy is 56.73 kJ/mol of atoms. The symmetry is I4/mmm.

Unit cell a=3.2142 b=3.2142 c=7.9545 alpha=78.34 beta=78.34 gamma=90.00
Positions (direct):
Ni 0.7500 0.2500 0.5000
Ag 0.6077 0.6077 0.7847
Ni 0.2500 0.7500 0.5000
Ag 0.3923 0.3923 0.2153
Rh 0.0000 0.0000 0.0000

(13)
NdLuIrAu: optimized geometry, PBE.

As for the crystal system: cubic. The value obtained for the total energy is -24.4 eV for the cell shown. The value obtained for the formation energy is -72.42 kJ/mol of atoms. The symmetry is F-43m.

Unit cell a=5.0075 b=5.0075 c=5.0075 alpha=60.00 beta=60.00 gamma=60.00
Positions (direct):
Nd 0.2500 0.2500 0.2500
Lu 0.7500 0.7500 0.7500
Au 0.0000 0.0000 0.0000
Ir 0.5000 0.5000 0.5000

(14)
La2NiSnPb: optimized geometry, PBE.

As for the crystal system: tetragonal. The value obtained for the total energy is -25.8 eV for the cell shown. The value obtained for the formation energy is -48.26 kJ/mol of atoms. The symmetry is P4/mmm.

Unit cell a=5.4464 b=5.4464 c=4.8785 alpha=90.00 beta=90.00 gamma=90.00
Positions (direct):
Pb 0.5000 0.5000 0.5000
La 0.5000 0.0000 0.0000
La 0.0000 0.5000 0.0000
Ni 0.0000 0.0000 0.0000
Sn 0.0000 0.0000 0.5000

(15)
MnGa2Ni7As2: optimized geometry, PBE.

As for the crystal system: tetragonal. The value obtained for the total energy is -65.9 eV for the cell shown. The value obtained for the formation energy is -7.50 kJ/mol of atoms. The symmetry is I4/mmm.

Unit cell a=3.4376 b=3.4376 c=13.9334 alpha=82.94 beta=82.94 gamma=90.00
Positions (direct):
Ni 0.5000 0.5000 0.0000
Ni 0.7230 0.7230 0.5543
Ni 0.4332 0.9332 0.1338
Ga 0.6314 0.6314 0.7371
Ni 0.9332 0.4332 0.1338
Ga 0.3686 0.3686 0.2629
As 0.1928 0.1928 0.6152
Ni 0.0668 0.5668 0.8662
Ni 0.2770 0.2770 0.4457
Mn 0.0000 0.0000 0.0000
As 0.8072 0.8072 0.3848
Ni 0.5668 0.0668 0.8662

(16)
Cu3TeAs: optimized geometry, PBE.

The calculation puts the energy relative to the lowest polymorph listed for this composition at 0 meV/atom. As for the crystal system: cubic. The value obtained for the total energy is -18.1 eV for the cell shown. The raw formation energy is 0.398 eV/atom. The symmetry is Pm-3m.

Unit cell a=4.6227 b=4.6227 c=4.6227 alpha=90.00 beta=90.00 gamma=90.00
Positions (direct):
Cu 0.0000 0.5000 0.0000
Cu 0.5000 0.0000 0.0000
As 0.0000 0.0000 0.0000
Cu 0.0000 0.0000 0.5000
Te 0.5000 0.5000 0.5000

(17)
Pa2BRu6: optimized geometry, PBE.

As for the crystal system: tetragonal. The value obtained for the total energy is -160.7 eV for the cell shown. The value obtained for the formation energy is 10.32 kJ/mol of atoms. The symmetry is P4_2/mnm.

Unit cell a=4.7025 b=4.7025 c=14.4465 alpha=90.00 beta=90.00 gamma=90.00
Positions (direct):
Ru 0.7925 0.2075 0.8904
Ru 0.7925 0.2075 0.1096
Ru 0.1940 0.8060 0.5000
B 0.5000 0.5000 0.5000
Ru 0.2925 0.2925 0.3904
Ru 0.8060 0.1940 0.5000
Ru 0.2075 0.7925 0.1096
Ru 0.3060 0.3060 0.0000
Ru 0.2075 0.7925 0.8904
Pa 0.5000 0.5000 0.2018
Ru 0.7075 0.7075 0.6096
B 0.0000 0.0000 0.0000
Pa 0.0000 0.0000 0.2982
Ru 0.2925 0.2925 0.6096
Pa 0.0000 0.0000 0.7018
Pa 0.5000 0.5000 0.7982
Ru 0.7075 0.7075 0.3904
Ru 0.6940 0.6940 0.0000

(18)
AlCd4Ag15: optimized geometry, PBE.

As for the crystal system: tetragonal. The value obtained for the total energy is -51.0 eV for the cell shown. The value obtained for the formation energy is -3.79 kJ/mol of atoms. The symmetry is P4/mmm.

Unit cell a=4.1523 b=4.1523 c=21.1641 alpha=90.00 beta=90.00 gamma=90.00
Positions (direct):
Ag 0.5000 0.5000 0.1952
Ag 0.5000 0.0000 0.5000
Ag 0.5000 0.0000 0.2968
Al 0.0000 0.0000 0.0000
Cd 0.0000 0.0000 0.8047
Ag 0.5000 0.0000 0.0937
Cd 0.0000 0.0000 0.6015
Cd 0.0000 0.0000 0.1953
Ag 0.0000 0.5000 0.0937
Ag 0.0000 0.5000 0.9063
Ag 0.0000 0.5000 0.2968
Ag 0.5000 0.0000 0.9063
Ag 0.5000 0.5000 0.3984
Ag 0.5000 0.0000 0.7032
Ag 0.5000 0.5000 0.6016
Ag 0.0000 0.5000 0.7032
Ag 0.5000 0.5000 0.8048
Ag 0.0000 0.5000 0.5000
Cd 0.0000 0.0000 0.3985
Ag 0.5000 0.5000 0.0000

(19)
NaCaN3: optimized geometry, PBE.

As for the crystal system: orthorhombic. The value obtained for the total energy is -84.1 eV for the cell shown. The raw formation energy is 1.453 eV/atom. The symmetry is Fddd.

Unit cell a=12.9611 b=12.6230 c=5.8187 alpha=80.12 beta=73.63 gamma=26.25
Positions (direct):
N 0.4103 0.8734 0.5963
N 0.4724 0.0276 0.0276
Ca 0.0771 0.0771 0.9229
N 0.8734 0.4103 0.1200
N 0.5963 0.1200 0.4103
N 0.2224 0.7776 0.7776
N 0.0276 0.4724 0.4724
Na 0.8166 0.8166 0.6834
N 0.3766 0.8397 0.1300
Ca 0.3271 0.3271 0.1729
Ca 0.1729 0.1729 0.3271
Na 0.4334 0.4334 0.5666
N 0.6537 0.1300 0.8397
N 0.7776 0.2224 0.2224
Na 0.5666 0.5666 0.4334
Na 0.6834 0.6834 0.8166
N 0.1200 0.5963 0.8734
N 0.1300 0.6537 0.3766
N 0.8397 0.3766 0.6537
Ca 0.9229 0.9229 0.0771

(20)
LiCa2As: optimized geometry, PBE.

As for the crystal system: tetragonal. The value obtained for the total energy is -13.1 eV for the cell shown. The value obtained for the formation energy is -60.78 kJ/mol of atoms. The symmetry is P4/mmm.

Unit cell a=4.1167 b=4.8961 c=4.8961 alpha=90.00 beta=90.00 gamma=90.00
Positions (direct):
As 0.5000 0.0000 0.5000
Li 0.5000 0.5000 0.0000
Ca 0.0000 0.5000 0.5000
Ca 0.0000 0.0000 0.0000

(21)
Y4ScIn5: optimized geometry, PBE.

As for the crystal system: tetragonal. The value obtained for the total energy is -50.7 eV for the cell shown. The value obtained for the formation energy is -46.30 kJ/mol of atoms. The symmetry is P4/mmm.

Unit cell a=3.6776 b=3.6776 c=19.1203 alpha=90.00 beta=90.00 gamma=90.00
Positions (direct):
Sc 0.0000 0.0000 0.0000
In 0.5000 0.5000 0.9119
In 0.5000 0.5000 0.5000
In 0.5000 0.5000 0.7065
In 0.5000 0.5000 0.0881
Y 0.0000 0.0000 0.1909
Y 0.0000 0.0000 0.8091
Y 0.0000 0.0000 0.3966
In 0.5000 0.5000 0.2935
Y 0.0000 0.0000 0.6034

(22)
Na2ZrTe4: optimized geometry, PBE.

As for the crystal system: tetragonal. The value obtained for the total energy is -27.4 eV for the cell shown. The raw formation energy is -0.528 eV/atom. The symmetry is I4/mmm.

Unit cell a=5.7164 b=5.7164 c=8.7299 alpha=70.89 beta=70.89 gamma=90.00
Positions (direct):
Na 0.3790 0.3790 0.2421
Te 0.8177 0.8177 0.3646
Zr 0.0000 0.0000 0.0000
Na 0.6210 0.6210 0.7579
Te 0.0000 0.5000 0.0000
Te 0.5000 0.0000 0.0000
Te 0.1823 0.1823 0.6354

(23)
LaMgHPb2: optimized geometry, PBE.

As for the crystal system: tetragonal. The value obtained for the total energy is -18.5 eV for the cell shown. The symmetry is P4/mmm.

Unit cell a=5.0916 b=5.0916 c=4.6369 alpha=90.00 beta=90.00 gamma=90.00
Positions (direct):
Pb 0.5000 0.0000 0.0000
Pb 0.0000 0.5000 0.0000
H 0.0000 0.0000 0.0000
La 0.0000 0.0000 0.5000
Mg 0.5000 0.5000 0.5000